Below is an optimized crystal structure of CaZr2Al, with properties calculated at the PBE level.

Cell: 4.5024 4.5024 4.5419 Å, 90.00 90.00 90.00°
Closest atoms and distances in Å follow each position.
Space group P4/mmm (No. 123)
One atom of each set of equivalent atoms:
Ca 0.0000 0.0000 0.0000  4 Al 3.18, 8 Zr 3.20
Zr 0.0000 0.5000 0.5000  4 Zr 3.18, 4 Ca 3.20, 4 Al 3.20
Al 0.5000 0.5000 0.0000  4 Ca 3.18, 8 Zr 3.20

Results
Total moment ... 0.0 μB per cell
E_tot ... -5.6610 eV/atom